1.
## AsP2S2 (PBE)

Data for a relaxed structure of AsP2S2.

Lattice parameters (Å, degrees): 4.4934 4.4934 4.4875 90.00 90.00 90.00
Closest atoms and distances in Å follow each position.
Space group P4/mmm (No. 123)
Unique sites:
As (0.0000, 0.0000, 0.0000) x1  8 S 3.18, 4 P 3.18
P (0.5000, 0.5000, 0.0000) x1  2 P 2.24
P (0.5000, 0.5000, 0.5000) x1  2 P 2.24, 4 S 2.25
S (0.0000, 0.5000, 0.5000) x2  2 P 2.25

Distance to the lowest polymorph of the same formula ... 0.00 eV per formula unit
E_tot ... -20.07 eV per cell
Density of states at the Fermi level ... 3.2 states/eV/cell

2.
## As2PS (PBE)

Data for a relaxed structure of As2PS.

Lattice parameters (Å, degrees): 6.5623 6.5623 8.0936 90.00 90.00 90.00
Closest atoms and distances in Å follow each position.
Space group I-42d (No. 122)
Unique sites:
As (0.2338, 0.7500, 0.1250) x8  2 P 2.46, 2 S 2.60
P (0.0000, 0.0000, 0.0000) x4  4 As 2.46
S (0.0000, 0.0000, 0.5000) x4  4 As 2.60

Distance to the lowest polymorph of the same formula ... 0.00 eV per formula unit
E_tot ... -69.87 eV per cell
Density of states at the Fermi level ... 9.4 states/eV/cell